Record 1
A crystal of MnZnIn relaxed with PBEsol. Source: Alexandria via LeMat-Bulk, functional meta-GGA SCAN.

Results
ΔH_f (0 K) = -0.03 eV/atom
calculated volume = 18.6 Å³/atom
raw total energy = -21.754 eV per atom

The structure in extended XYZ format:
```
3
Lattice="0.0000 3.0338 3.0338 3.0338 0.0000 3.0338 3.0338 3.0338 0.0000" Properties=species:S:1:pos:R:3 pbc="T T T"
Mn 0.0000 0.0000 0.0000
Zn 1.5169 1.5169 1.5169
In 3.0338 3.0338 3.0338
```

Record 2
A crystal of TaCrP2 relaxed with PBEsol. Source: Alexandria via LeMat-Bulk, functional meta-GGA SCAN.

Results
ΔH_f (0 K) = 0.03 eV/atom
calculated volume = 14.0 Å³/atom
ΔE to the lowest computed polymorph = 1.21 eV per formula unit
raw total energy = -26.414 eV per atom

The structure in extended XYZ format:
```
4
Lattice="1.4829 0.8562 7.3353 -1.4829 0.8562 7.3353 0.0000 -1.7123 7.3353" Properties=species:S:1:pos:R:3 pbc="T T T"
Ta 0.0000 0.0000 0.0000
Cr 0.0000 0.0000 16.7171
P 0.0000 0.0000 5.4586
P 0.0000 0.0000 10.9197
```

Record 3
A crystal of Tl2FeIr relaxed with PBEsol. Source: Alexandria via LeMat-Bulk, functional meta-GGA SCAN.

Results
ΔH_f (0 K) = 0.31 eV/atom
calculated volume = 19.3 Å³/atom
ΔE to the lowest computed polymorph = 0.00 eV per formula unit
raw total energy = -58.181 eV per atom

The structure in extended XYZ format:
```
4
Lattice="3.0189 0.0000 0.0000 0.0000 3.0189 0.0000 0.0000 0.0000 8.4545" Properties=species:S:1:pos:R:3 pbc="T T T"
Tl 0.0000 0.0000 0.0000
Tl 1.5094 1.5094 2.9811
Fe 0.0000 0.0000 5.0029
Ir 1.5094 1.5094 6.3133
```

Record 4
A crystal of MgFePb2 relaxed with PBEsol. Source: Alexandria via LeMat-Bulk, functional meta-GGA SCAN.

Results
ΔH_f (0 K) = 0.29 eV/atom
calculated volume = 21.8 Å³/atom
raw total energy = -43.373 eV per atom

The structure in extended XYZ format:
```
4
Lattice="-2.0978 2.0978 4.9550 2.0978 -2.0978 4.9550 2.0978 2.0978 -4.9550" Properties=species:S:1:pos:R:3 pbc="T T T"
Mg 0.0000 0.0000 0.0000
Fe 2.0978 0.0000 2.4775
Pb 0.0000 0.0000 4.9550
Pb 0.0000 2.0978 2.4775
```